1.
Here is an optimized crystal structure of Er6Tl6Cd from Alexandria. Energies are from PBE.

Energy = -44.362 eV/cell
ΔH_f (0 K) = -0.144 eV per atom

```
data_Er6Tl6Cd
_chemical_formula_sum 'Er6 Tl6 Cd1'
_cell_length_a 6.4262
_cell_length_b 6.4262
_cell_length_c 10.3531
_cell_angle_alpha 90.00
_cell_angle_beta 90.00
_cell_angle_gamma 120.00
_space_group_name_H-M_alt 'P 6/m m m'
_space_group_IT_number 191
_space_group_name_Hall '-P 6 2'
loop_
_atom_site_label
_atom_site_type_symbol
_atom_site_fract_x
_atom_site_fract_y
_atom_site_fract_z
Er1 Er 0.0000 0.0000 0.1797
Er2 Er 0.3333 0.6667 0.0000
Er3 Er 0.3333 0.6667 0.5000
Tl1 Tl 0.0000 0.5000 0.2508
Cd1 Cd 0.0000 0.0000 0.5000
```

2.
Here is an optimized crystal structure of ZrTePdN2 from Alexandria. Energies are from PBE.

Energy = -27.816 eV/cell
Energy above the lowest structure with this stoichiometry = 622 meV per atom
ΔE_f (raw) = 1.14 eV per atom

```
data_ZrTePdN2
_chemical_formula_sum 'Zr1 Te1 Pd1 N2'
_cell_length_a 4.120
_cell_length_b 4.120
_cell_length_c 5.090
_cell_angle_alpha 90.00
_cell_angle_beta 90.00
_cell_angle_gamma 90.00
_space_group_name_H-M_alt 'P 4/m m m'
_space_group_IT_number 123
_space_group_name_Hall '-P 4 2'
loop_
_atom_site_label
_atom_site_type_symbol
_atom_site_fract_x
_atom_site_fract_y
_atom_site_fract_z
Zr1 Zr 0.000 0.000 0.000
Te1 Te 0.500 0.500 0.000
Pd1 Pd 0.500 0.500 0.500
N1 N 0.000 0.500 0.500
```

3.
Here is an optimized crystal structure of RbMnW2 from Alexandria. Energies are from PBE.

Energy = -110.659 eV/cell
Energy above the lowest structure with this stoichiometry = 0 meV per atom
ΔH_f (0 K) = 2.095 eV per atom

```
data_RbMnW2
_chemical_formula_sum 'Rb4 Mn4 W8'
_cell_length_a 5.233
_cell_length_b 5.233
_cell_length_c 15.789
_cell_angle_alpha 90.00
_cell_angle_beta 90.00
_cell_angle_gamma 90.00
_space_group_name_H-M_alt 'I 41/a m d'
_space_group_IT_number 141
loop_
_space_group_symop_operation_xyz
'x,y,z'
'-x,-y,-z'
'-y+1/4,x+3/4,z+1/4'
'y+1/4,-x+3/4,-z+1/4'
'-x+1/2,-y,z+1/2'
'x+1/2,y,-z+1/2'
'y+1/4,-x+1/4,z+3/4'
'-y+1/4,x+1/4,-z+3/4'
'x,-y,-z'
'-x,y,z'
'-y+1/4,-x+1/4,-z+3/4'
'y+1/4,x+1/4,z+3/4'
'-x+1/2,y,-z+1/2'
'x+1/2,-y,z+1/2'
'y+1/4,x+3/4,-z+1/4'
'-y+1/4,-x+3/4,z+1/4'
'x+1/2,y+1/2,z+1/2'
'-x+1/2,-y+1/2,-z+1/2'
'-y+3/4,x+1/4,z+3/4'
'y+3/4,-x+1/4,-z+3/4'
'-x,-y+1/2,z'
'x,y+1/2,-z'
'y+3/4,-x+3/4,z+1/4'
'-y+3/4,x+3/4,-z+1/4'
'x+1/2,-y+1/2,-z+1/2'
'-x+1/2,y+1/2,z+1/2'
'-y+3/4,-x+3/4,-z+1/4'
'y+3/4,x+3/4,z+1/4'
'-x,y+1/2,-z'
'x,-y+1/2,z'
'y+3/4,x+1/4,-z+3/4'
'-y+3/4,-x+1/4,z+3/4'
loop_
_atom_site_label
_atom_site_type_symbol
_atom_site_fract_x
_atom_site_fract_y
_atom_site_fract_z
Rb1 Rb 0.000 0.250 0.375
Mn1 Mn 0.000 0.250 0.875
W1 W 0.000 0.000 0.000
```

4.
Here is an optimized crystal structure of GdLuBr from Alexandria. Energies are from PBE.

Energy = -22.448 eV/cell
ΔE_f (raw) = -0.72 eV per atom

```
data_GdLuBr
_chemical_formula_sum 'Gd1 Lu1 Br1'
_cell_length_a 3.6896
_cell_length_b 3.6896
_cell_length_c 7.2378
_cell_angle_alpha 90.00
_cell_angle_beta 90.00
_cell_angle_gamma 120.00
_space_group_name_H-M_alt 'P 3 m 1'
_space_group_IT_number 156
_space_group_name_Hall 'P 3 -2"'
loop_
_atom_site_label
_atom_site_type_symbol
_atom_site_fract_x
_atom_site_fract_y
_atom_site_fract_z
Gd1 Gd 0.0000 0.0000 0.0000
Lu1 Lu 0.6667 0.3333 0.6403
Br1 Br 0.3333 0.6667 0.3266
```

5.
Here is an optimized crystal structure of Al2TlCl from Alexandria. Energies are from PBE.

Energy = -34.801 eV/cell
Energy above the lowest structure with this stoichiometry = 156 meV per atom
ΔE_f (raw) = 0.02 eV per atom

```
data_Al2TlCl
_chemical_formula_sum 'Al6 Tl3 Cl3'
_cell_length_a 3.3386
_cell_length_b 3.3386
_cell_length_c 28.1007
_cell_angle_alpha 90.00
_cell_angle_beta 90.00
_cell_angle_gamma 120.00
_space_group_name_H-M_alt 'R -3 m'
_space_group_IT_number 166
_space_group_name_Hall '-R 3 2"'
loop_
_atom_site_label
_atom_site_type_symbol
_atom_site_fract_x
_atom_site_fract_y
_atom_site_fract_z
Al1 Al 0.0000 0.0000 0.2420
Tl1 Tl 0.0000 0.0000 0.0000
Cl1 Cl 0.0000 0.0000 0.5000
```

6.
Here is an optimized crystal structure of K2CuHg from Alexandria. Energies are from PBE.

Energy = -12.193 eV/cell
ΔH_f (0 K) = 0.124 eV per atom

```
data_K2CuHg
_chemical_formula_sum 'K4 Cu2 Hg2'
_cell_length_a 8.002
_cell_length_b 8.052
_cell_length_c 4.347
_cell_angle_alpha 90.00
_cell_angle_beta 90.11
_cell_angle_gamma 90.00
_space_group_name_H-M_alt 'C 1 2/m 1'
_space_group_IT_number 12
_space_group_name_Hall '-C 2y'
loop_
_atom_site_label
_atom_site_type_symbol
_atom_site_fract_x
_atom_site_fract_y
_atom_site_fract_z
K1 K 0.250 0.250 0.000
Cu1 Cu 0.000 0.000 0.500
Hg1 Hg 0.000 0.500 0.500
```

7.
Here is an optimized crystal structure of TiTlRh2O from Alexandria. Energies are from PBE.

Energy = -24.312 eV/cell
ΔE_f (raw) = 1.12 eV per atom

```
data_TiTlRh2O
_chemical_formula_sum 'Ti1 Tl1 Rh2 O1'
_cell_length_a 5.039
_cell_length_b 5.039
_cell_length_c 4.021
_cell_angle_alpha 90.00
_cell_angle_beta 90.00
_cell_angle_gamma 90.00
_space_group_name_H-M_alt 'P 4/m m m'
_space_group_IT_number 123
_space_group_name_Hall '-P 4 2'
loop_
_atom_site_label
_atom_site_type_symbol
_atom_site_fract_x
_atom_site_fract_y
_atom_site_fract_z
Ti1 Ti 0.000 0.000 0.000
Tl1 Tl 0.500 0.500 0.500
Rh1 Rh 0.000 0.500 0.500
O1 O 0.500 0.500 0.000
```

8.
Here is an optimized crystal structure of Sr2LaMo from Alexandria. Energies are from PBE.

Energy = -63.662 eV/cell
Energy above the lowest structure with this stoichiometry = 281 meV per atom
ΔH_f (0 K) = 0.802 eV per atom

```
data_Sr2LaMo
_chemical_formula_sum 'Sr8 La4 Mo4'
_cell_length_a 11.612
_cell_length_b 11.612
_cell_length_c 5.187
_cell_angle_alpha 90.00
_cell_angle_beta 90.00
_cell_angle_gamma 90.00
_space_group_name_H-M_alt 'I -4 2 d'
_space_group_IT_number 122
_space_group_name_Hall 'I -4 2bw'
loop_
_atom_site_label
_atom_site_type_symbol
_atom_site_fract_x
_atom_site_fract_y
_atom_site_fract_z
Sr1 Sr 0.106 0.250 0.125
La1 La 0.000 0.000 0.500
Mo1 Mo 0.000 0.000 0.000
```

9.
Here is an optimized crystal structure of Na2LiGe from Alexandria. Energies are from PBE.

Energy = -34.950 eV/cell
ΔH_f (0 K) = 0.108 eV per atom

```
data_Na2LiGe
_chemical_formula_sum 'Na8 Li4 Ge4'
_cell_length_a 4.212
_cell_length_b 4.212
_cell_length_c 21.455
_cell_angle_alpha 90.00
_cell_angle_beta 90.00
_cell_angle_gamma 90.00
_space_group_name_H-M_alt 'I -4 2 d'
_space_group_IT_number 122
_space_group_name_Hall 'I -4 2bw'
loop_
_atom_site_label
_atom_site_type_symbol
_atom_site_fract_x
_atom_site_fract_y
_atom_site_fract_z
Na1 Na 0.238 0.250 0.125
Li1 Li 0.000 0.000 0.500
Ge1 Ge 0.000 0.000 0.000
```

10.
Here is an optimized crystal structure of LiZnCo2 from Alexandria. Energies are from PBE.

Energy = -34.242 eV/cell
ΔH_f (0 K) = 0.070 eV per atom

```
data_LiZnCo2
_chemical_formula_sum 'Li2 Zn2 Co4'
_cell_length_a 4.900
_cell_length_b 8.453
_cell_length_c 2.474
_cell_angle_alpha 90.00
_cell_angle_beta 112.14
_cell_angle_gamma 90.00
_space_group_name_H-M_alt 'C 1 2/m 1'
_space_group_IT_number 12
_space_group_name_Hall '-C 2y'
loop_
_atom_site_label
_atom_site_type_symbol
_atom_site_fract_x
_atom_site_fract_y
_atom_site_fract_z
Li1 Li 0.000 0.000 0.000
Zn1 Zn 0.000 0.500 0.000
Co1 Co 0.250 0.250 0.500
```

11.
Here is an optimized crystal structure of CuTeI4 from Alexandria. Energies are from PBE.

Energy = -54.807 eV/cell
Energy above the lowest structure with this stoichiometry = 0 meV per atom
ΔE_f (raw) = -0.04 eV per atom

```
data_CuTeI4
_chemical_formula_sum 'Cu4 Te4 I16'
_cell_length_a 11.300
_cell_length_b 11.300
_cell_length_c 8.248
_cell_angle_alpha 90.00
_cell_angle_beta 90.00
_cell_angle_gamma 90.00
_space_group_name_H-M_alt 'I 41 m d'
_space_group_IT_number 109
_space_group_name_Hall 'I 4bw -2'
loop_
_atom_site_label
_atom_site_type_symbol
_atom_site_fract_x
_atom_site_fract_y
_atom_site_fract_z
Cu1 Cu 0.000 0.000 0.000
Te1 Te 0.000 0.000 0.503
I1 I 0.000 0.328 0.024
I2 I 0.000 0.331 0.474
```

12.
Here is an optimized crystal structure of ScTiGa from Alexandria. Energies are from PBE.

Energy = -72.285 eV/cell
Energy above the lowest structure with this stoichiometry = 158 meV per atom
ΔH_f (0 K) = -0.273 eV per atom

```
data_ScTiGa
_chemical_formula_sum 'Sc4 Ti4 Ga4'
_cell_length_a 3.076
_cell_length_b 3.076
_cell_length_c 24.407
_cell_angle_alpha 90.00
_cell_angle_beta 90.00
_cell_angle_gamma 90.00
_space_group_name_H-M_alt 'I 4/m m m'
_space_group_IT_number 139
_space_group_name_Hall '-I 4 2'
loop_
_atom_site_label
_atom_site_type_symbol
_atom_site_fract_x
_atom_site_fract_y
_atom_site_fract_z
Sc1 Sc 0.000 0.000 0.067
Ti1 Ti 0.000 0.000 0.213
Ga1 Ga 0.000 0.000 0.359
```

13.
Here is an optimized crystal structure of CdFeNi from Alexandria. Energies are from PBE.

Energy = -29.342 eV/cell
Energy above the lowest structure with this stoichiometry = 0 meV per atom
ΔH_f (0 K) = 0.163 eV per atom

```
data_CdFeNi
_chemical_formula_sum 'Cd2 Fe2 Ni2'
_cell_length_a 2.879
_cell_length_b 2.879
_cell_length_c 10.451
_cell_angle_alpha 90.00
_cell_angle_beta 90.00
_cell_angle_gamma 90.00
_space_group_name_H-M_alt 'I 4 m m'
_space_group_IT_number 107
_space_group_name_Hall 'I 4 -2'
loop_
_atom_site_label
_atom_site_type_symbol
_atom_site_fract_x
_atom_site_fract_y
_atom_site_fract_z
Cd1 Cd 0.000 0.000 0.000
Fe1 Fe 0.000 0.000 0.692
Ni1 Ni 0.000 0.000 0.318
```

14.
Here is an optimized crystal structure of Ho4Mg5Cd from Alexandria. Energies are from PBE.

Energy = -56.600 eV/cell
Energy above the lowest structure with this stoichiometry = 0 meV per atom
ΔH_f (0 K) = -0.110 eV per atom

```
data_Ho4Mg5Cd
_chemical_formula_sum 'Ho8 Mg10 Cd2'
_cell_length_a 15.699
_cell_length_b 5.237
_cell_length_c 6.532
_cell_angle_alpha 90.00
_cell_angle_beta 105.58
_cell_angle_gamma 90.00
_space_group_name_H-M_alt 'C 1 2/m 1'
_space_group_IT_number 12
_space_group_name_Hall '-C 2y'
loop_
_atom_site_label
_atom_site_type_symbol
_atom_site_fract_x
_atom_site_fract_y
_atom_site_fract_z
Ho1 Ho 0.099 0.000 0.401
Ho2 Ho 0.195 0.500 0.804
Mg1 Mg 0.000 0.500 0.000
Mg2 Mg 0.098 0.000 0.915
Mg3 Mg 0.197 0.500 0.298
Cd1 Cd 0.000 0.500 0.500
```

15.
Here is an optimized crystal structure of Ca4CdAgAu2 from Alexandria. Energies are from PBE.

Energy = -68.090 eV/cell
ΔH_f (0 K) = -0.546 eV per atom

```
data_Ca4CdAgAu2
_chemical_formula_sum 'Ca12 Cd3 Ag3 Au6'
_cell_length_a 5.2182
_cell_length_b 5.2182
_cell_length_c 25.7243
_cell_angle_alpha 90.00
_cell_angle_beta 90.00
_cell_angle_gamma 120.00
_space_group_name_H-M_alt 'R -3 m'
_space_group_IT_number 166
_space_group_name_Hall '-R 3 2"'
loop_
_atom_site_label
_atom_site_type_symbol
_atom_site_fract_x
_atom_site_fract_y
_atom_site_fract_z
Ca1 Ca 0.0000 0.0000 0.1226
Ca2 Ca 0.0000 0.0000 0.3730
Cd1 Cd 0.0000 0.0000 0.5000
Ag1 Ag 0.0000 0.0000 0.0000
Au1 Au 0.0000 0.0000 0.2485
```

16.
Here is an optimized crystal structure of AlCrFeRe from Alexandria. Energies are from PBE.

Energy = -138.661 eV/cell
ΔH_f (0 K) = -0.097 eV per atom

```
data_AlCrFeRe
_chemical_formula_sum 'Al4 Cr4 Fe4 Re4'
_cell_length_a 5.868
_cell_length_b 5.868
_cell_length_c 5.868
_cell_angle_alpha 90.00
_cell_angle_beta 90.00
_cell_angle_gamma 90.00
_space_group_name_H-M_alt 'F -4 3 m'
_space_group_IT_number 216
_space_group_name_Hall 'F -4 2 3'
loop_
_atom_site_label
_atom_site_type_symbol
_atom_site_fract_x
_atom_site_fract_y
_atom_site_fract_z
Al1 Al 0.000 0.000 0.000
Cr1 Cr 0.250 0.250 0.250
Fe1 Fe 0.250 0.250 0.750
Re1 Re 0.000 0.000 0.500
```

17.
Here is an optimized crystal structure of Zr3MnBr from Alexandria. Energies are from PBE.

Energy = -33.500 eV/cell
Energy above the lowest structure with this stoichiometry = 234 meV per atom
ΔE_f (raw) = 0.60 eV per atom

```
data_Zr3MnBr
_chemical_formula_sum 'Zr3 Mn1 Br1'
_cell_length_a 4.966
_cell_length_b 4.966
_cell_length_c 4.966
_cell_angle_alpha 90.00
_cell_angle_beta 90.00
_cell_angle_gamma 90.00
_space_group_name_H-M_alt 'P m -3 m'
_space_group_IT_number 221
_space_group_name_Hall '-P 4 2 3'
loop_
_atom_site_label
_atom_site_type_symbol
_atom_site_fract_x
_atom_site_fract_y
_atom_site_fract_z
Zr1 Zr 0.000 0.000 0.500
Mn1 Mn 0.500 0.500 0.500
Br1 Br 0.000 0.000 0.000
```